No. 1
# PBE Li2Ce3Al7, relaxed
# Fermi-level density of states in states/eV per cell: 51.55
# Size of the total moment in Bohr magnetons per cell: 6.517
# Calculated formation energy in meV/atom: -363
data_Li2Ce3Al7
_chemical_formula_sum 'Li6 Ce9 Al21'
_cell_length_a 5.6024
_cell_length_b 5.6024
_cell_length_c 26.2990
_cell_angle_alpha 90.00
_cell_angle_beta 90.00
_cell_angle_gamma 120.00
_symmetry_space_group_name_H-M 'R -3 m'
_symmetry_Int_Tables_number 166
_symmetry_space_group_name_Hall '-R 3 2"'
loop_
_atom_site_label
_atom_site_type_symbol
_atom_site_fract_x
_atom_site_fract_y
_atom_site_fract_z
Li1 Li 0.0000 0.0000 0.1646
Ce1 Ce 0.0000 0.0000 0.3592
Ce2 Ce 0.0000 0.0000 0.5000
Al1 Al 0.0000 0.0000 0.0000
Al2 Al 0.0062 0.5031 0.4184

No. 2
# PBE LiCe2Al, relaxed
# Fermi-level density of states in states/eV per cell: 9.27
# Size of the total moment in Bohr magnetons per cell: 1.584
# Calculated formation energy in meV/atom: -61
data_LiCe2Al
_chemical_formula_sum 'Li1 Ce2 Al1'
_cell_length_a 3.163
_cell_length_b 4.698
_cell_length_c 6.468
_cell_angle_alpha 90.00
_cell_angle_beta 90.00
_cell_angle_gamma 90.00
_symmetry_space_group_name_H-M 'P m m m'
_symmetry_Int_Tables_number 47
loop_
_symmetry_equiv_pos_as_xyz
'x,y,z'
'-x,-y,-z'
'-x,-y,z'
'x,y,-z'
'x,-y,-z'
'-x,y,z'
'-x,y,-z'
'x,-y,z'
loop_
_atom_site_label
_atom_site_type_symbol
_atom_site_fract_x
_atom_site_fract_y
_atom_site_fract_z
Li1 Li 0.000 0.000 0.000
Ce1 Ce 0.500 0.500 0.286
Al1 Al 0.000 0.000 0.500

No. 3
# PBE LiCeAl2, relaxed
# Fermi-level density of states in states/eV per cell: 7.01
# Size of the total moment in Bohr magnetons per cell: 0.660
# Calculated formation energy in meV/atom: -107
data_LiCeAl2
_chemical_formula_sum 'Li1 Ce1 Al2'
_cell_length_a 4.324
_cell_length_b 4.324
_cell_length_c 4.537
_cell_angle_alpha 90.00
_cell_angle_beta 90.00
_cell_angle_gamma 90.00
_symmetry_space_group_name_H-M 'P 4/m m m'
_symmetry_Int_Tables_number 123
_symmetry_space_group_name_Hall '-P 4 2'
loop_
_atom_site_label
_atom_site_type_symbol
_atom_site_fract_x
_atom_site_fract_y
_atom_site_fract_z
Li1 Li 0.000 0.000 0.000
Ce1 Ce 0.500 0.500 0.000
Al1 Al 0.000 0.500 0.500

No. 4
# PBE LiCeAl2, relaxed
# Fermi-level density of states in states/eV per cell: 10.19
# Size of the total moment in Bohr magnetons per cell: 0.000
# Calculated formation energy in meV/atom: -77
data_LiCeAl2
_chemical_formula_sum 'Li3 Ce3 Al6'
_cell_length_a 2.9697
_cell_length_b 2.9697
_cell_length_c 30.6023
_cell_angle_alpha 90.00
_cell_angle_beta 90.00
_cell_angle_gamma 120.00
_symmetry_space_group_name_H-M 'R -3 m'
_symmetry_Int_Tables_number 166
_symmetry_space_group_name_Hall '-R 3 2"'
loop_
_atom_site_label
_atom_site_type_symbol
_atom_site_fract_x
_atom_site_fract_y
_atom_site_fract_z
Li1 Li 0.0000 0.0000 0.0000
Ce1 Ce 0.0000 0.0000 0.5000
Al1 Al 0.0000 0.0000 0.2572